This record from the Alexandria database describes NdTl2Cd after structural relaxation. The functional is PBE.

Properties
Magnetization, μB per formula unit: 0.000
D(E_F), states/eV/f.u.: 2.9
ΔH_f (0 K), eV per atom: -0.147
E above lowest polymorph, eV per formula unit: 0.62

abc: 3.765 3.765 7.753
angles: 90.00 90.00 90.00
Sites, in units of the cell vectors:
Tl: 0.000 0.000 0.771
Tl: 0.000 0.000 0.229
Nd: 0.500 0.500 0.500
Cd: 0.500 0.500 0.000

This record from the Alexandria database describes RbFeSN2 after structural relaxation. The functional is PBE.

Properties
Magnetization, μB per formula unit: 7.300
D(E_F), states/eV/f.u.: 4.2
E above lowest polymorph, eV per formula unit: 9.71
Formation energy from raw total energies, kJ per mole of atoms: 268

abc: 4.405 4.405 6.330
angles: 90.00 90.00 90.00
Sites, in units of the cell vectors:
S: 0.000 0.000 0.500
Fe: 0.500 0.500 0.500
Rb: 0.000 0.000 0.000
N: 0.000 0.500 0.000
N: 0.500 0.000 0.000

This record from the Alexandria database describes CeNd4In5 after structural relaxation. The functional is PBE.

Properties
Magnetization, μB per formula unit: 1.016
D(E_F), states/eV/f.u.: 12.3
ΔH_f (0 K), eV per atom: -0.457

abc: 3.866 3.866 19.490
angles: 90.00 90.00 90.00
Sites, in units of the cell vectors:
Ce: 0.000 0.000 0.000
Nd: 0.000 0.000 0.200
Nd: 0.000 0.000 0.400
Nd: 0.000 0.000 0.600
Nd: 0.000 0.000 0.800
In: 0.500 0.500 0.101
In: 0.500 0.500 0.300
In: 0.500 0.500 0.500
In: 0.500 0.500 0.700
In: 0.500 0.500 0.899

This record from the Alexandria database describes CuBiPtO6 after structural relaxation. The functional is PBE.

Properties
Magnetization, μB per formula unit: 1.641
D(E_F), states/eV/f.u.: 7.3
Formation energy from raw total energies, kJ per mole of atoms: -53

abc: 4.748 4.748 9.738
angles: 90.00 90.00 90.00
Sites, in units of the cell vectors:
Cu: 0.500 0.500 0.499
Cu: 0.000 0.000 0.999
Bi: 0.500 0.500 0.168
Bi: 0.000 0.000 0.668
Pt: 0.500 0.500 0.835
Pt: 0.000 0.000 0.335
O: 0.198 0.802 0.489
O: 0.802 0.198 0.489
O: 0.302 0.302 0.989
O: 0.698 0.698 0.989
O: 0.178 0.822 0.168
O: 0.822 0.178 0.168
O: 0.322 0.322 0.668
O: 0.678 0.678 0.668
O: 0.797 0.203 0.842
O: 0.203 0.797 0.842
O: 0.703 0.703 0.342
O: 0.297 0.297 0.342

This record from the Alexandria database describes Dy5Te4P after structural relaxation. The functional is PBE.

Properties
Magnetization, μB per formula unit: 0.000
D(E_F), states/eV/f.u.: 4.5
Formation energy from raw total energies, kJ per mole of atoms: -133

abc: 4.220 4.220 15.987
angles: 97.58 97.58 90.00
Sites, in units of the cell vectors:
Dy: 0.085 0.085 0.169
Dy: 0.500 0.500 0.000
Dy: 0.915 0.915 0.831
Dy: 0.288 0.288 0.577
Dy: 0.712 0.712 0.423
Te: 0.398 0.398 0.795
Te: 0.810 0.810 0.620
Te: 0.190 0.190 0.380
Te: 0.602 0.602 0.205
P: 0.000 0.000 0.000

This record from the Alexandria database describes Ac2Ga3Cu12Pt after structural relaxation. The functional is PBE.

Properties
Magnetization, μB per formula unit: 0.000
D(E_F), states/eV/f.u.: 7.9
ΔH_f (0 K), eV per atom: 0.008

abc: 9.913 9.913 9.913
angles: 36.84 36.84 36.84
Sites, in units of the cell vectors:
Ac: 0.652 0.652 0.652
Ac: 0.348 0.348 0.348
Ga: 0.500 0.000 0.000
Ga: 0.000 0.500 0.000
Ga: 0.000 0.000 0.500
Cu: 0.418 0.418 0.804
Cu: 0.937 0.937 0.350
Cu: 0.350 0.937 0.937
Cu: 0.804 0.418 0.418
Cu: 0.937 0.350 0.937
Cu: 0.418 0.804 0.418
Cu: 0.582 0.582 0.196
Cu: 0.063 0.063 0.650
Cu: 0.650 0.063 0.063
Cu: 0.196 0.582 0.582
Cu: 0.063 0.650 0.063
Cu: 0.582 0.196 0.582
Pt: 0.000 0.000 0.000

This record from the Alexandria database describes SrMgZnSn2 after structural relaxation. The functional is PBE.

Properties
Magnetization, μB per formula unit: 0.000
D(E_F), states/eV/f.u.: 1.6
ΔH_f (0 K), eV per atom: -0.364

abc: 4.699 4.699 6.951
angles: 109.76 109.76 90.00
Sites, in units of the cell vectors:
Sr: 0.000 0.000 0.000
Mg: 0.750 0.250 0.500
Zn: 0.250 0.750 0.500
Sn: 0.619 0.619 0.237
Sn: 0.381 0.381 0.763

This record from the Alexandria database describes Ti2VCrH after structural relaxation. The functional is PBE.

Properties
E, eV/atom: -7.594
Magnetization, μB per formula unit: 1.679
D(E_F), states/eV/f.u.: 4.7

abc: 4.307 4.307 3.307
angles: 90.00 90.00 90.00
Sites, in units of the cell vectors:
Cr: 0.000 0.000 0.500
Ti: 0.000 0.500 0.000
Ti: 0.500 0.000 0.000
H: 0.000 0.000 0.000
V: 0.500 0.500 0.500

This record from the Alexandria database describes Cs2LaSnCl6 after structural relaxation. The functional is PBE.

Properties
Magnetization, μB per formula unit: 1.000
E above lowest polymorph, eV per formula unit: 0.00
Formation energy from raw total energies, kJ per mole of atoms: -171

abc: 7.896 8.078 13.159
angles: 90.00 90.00 90.00
Sites, in units of the cell vectors:
Cs: 0.500 0.742 0.208
Cs: 0.000 0.258 0.708
Cs: 0.500 0.742 0.792
Cs: 0.000 0.258 0.292
La: 0.000 0.727 0.500
La: 0.500 0.273 0.000
Sn: 0.500 0.225 0.500
Sn: 0.000 0.775 0.000
Cl: 0.500 0.289 0.210
Cl: 0.500 0.289 0.790
Cl: 0.000 0.711 0.290
Cl: 0.000 0.711 0.710
Cl: 0.237 0.983 0.500
Cl: 0.763 0.983 0.500
Cl: 0.237 0.469 0.500
Cl: 0.763 0.469 0.500
Cl: 0.737 0.531 0.000
Cl: 0.263 0.531 0.000
Cl: 0.263 0.017 0.000
Cl: 0.737 0.017 0.000

This record from the Alexandria database describes CaP2W after structural relaxation. The functional is PBE.

Properties
Magnetization, μB per formula unit: 0.000
D(E_F), states/eV/f.u.: 1.8
ΔH_f (0 K), eV per atom: -0.407
E above lowest polymorph, eV per formula unit: 0.62

abc: 4.092 4.092 6.629
angles: 77.50 77.50 48.89
Sites, in units of the cell vectors:
Ca: 0.214 0.214 0.249
P: 0.963 0.963 0.976
P: 0.823 0.823 0.569
W: 0.500 0.500 0.707

This record from the Alexandria database describes HoIn2Hg7 after structural relaxation. The functional is PBE.

Properties
Magnetization, μB per formula unit: 0.000
D(E_F), states/eV/f.u.: 3.6
ΔH_f (0 K), eV per atom: -0.063

abc: 3.305 6.086 13.157
angles: 103.37 90.00 90.00
Sites, in units of the cell vectors:
Ho: 0.000 0.000 0.000
In: 0.500 0.703 0.406
In: 0.500 0.297 0.594
Hg: 0.000 0.805 0.610
Hg: 0.000 0.195 0.390
Hg: 0.500 0.657 0.802
Hg: 0.500 0.343 0.198
Hg: 0.500 0.856 0.198
Hg: 0.500 0.144 0.802
Hg: 0.500 0.500 0.000

This record from the Alexandria database describes Sm2ZnNi2 after structural relaxation. The functional is PBE.

Properties
Magnetization, μB per formula unit: 0.000
D(E_F), states/eV/f.u.: 3.6
ΔH_f (0 K), eV per atom: -0.391

abc: 5.433 5.479 7.817
angles: 103.09 90.00 119.73
Sites, in units of the cell vectors:
Sm: 0.494 0.293 0.147
Sm: 0.201 0.707 0.353
Sm: 0.506 0.707 0.853
Sm: 0.799 0.293 0.647
Zn: 0.852 0.000 0.250
Zn: 0.148 0.000 0.750
Ni: 0.719 0.721 0.495
Ni: 0.998 0.279 0.005
Ni: 0.281 0.279 0.505
Ni: 0.002 0.721 0.995

Among the records above, which one has the highest magnetization? RbFeSN2

Copy entry 2 word for word.
This record from the Alexandria database describes RbFeSN2 after structural relaxation. The functional is PBE.

Properties
Magnetization, μB per formula unit: 7.300
D(E_F), states/eV/f.u.: 4.2
E above lowest polymorph, eV per formula unit: 9.71
Formation energy from raw total energies, kJ per mole of atoms: 268

abc: 4.405 4.405 6.330
angles: 90.00 90.00 90.00
Sites, in units of the cell vectors:
S: 0.000 0.000 0.500
Fe: 0.500 0.500 0.500
Rb: 0.000 0.000 0.000
N: 0.000 0.500 0.000
N: 0.500 0.000 0.000

The highest magnetization belongs to which entry? RbFeSN2